Entry 1:
MnOs2Ru5 | PBE-GGA | relaxed

**SG**: Fmm2 (42)
**Energy of formation**: -0.01 eV per atom

a b c (Å): 6.371 5.443 5.077
angles (deg): 74.45 55.40 50.15
Fractional coordinates of all 8 atoms:
Mn  0.000  0.000  0.000
Os  0.083  0.587  0.413
Os  0.587  0.083  0.917
Ru  0.000  0.497  0.000
Ru  0.078  0.078  0.422
Ru  0.497  0.000  0.503
Ru  0.499  0.499  0.501
Ru  0.578  0.578  0.922

=====

Entry 2:
Mn2OsRu | PBE-GGA | relaxed

**SG**: Immm (71)
**Energy of formation**: 0.27 eV per atom

a b c (Å): 5.011 5.011 5.011
angles (deg): 146.43 127.21 64.03
Fractional coordinates of all 4 atoms:
Mn  0.249  0.249  0.000
Mn  0.751  0.751  0.000
Os  0.000  0.500  0.500
Ru  0.500  0.000  0.500

=====

Entry 3:
ScMnOs2Ru | PBE-GGA | relaxed

**SG**: P4/mmm (123)
**Energy of formation**: 1.15 eV per atom

a b c (Å): 4.383 4.383 4.483
angles (deg): 90.00 90.00 90.00
Fractional coordinates of all 5 atoms:
Sc  0.000  0.000  0.000
Mn  0.000  0.000  0.500
Os  0.000  0.500  0.500
Os  0.500  0.000  0.500
Ru  0.500  0.500  0.000

=====

Entry 4:
MnOsS4 | PBE-GGA | relaxed

**Raw formation energy**: -0.199 eV per atom
**SG**: C2/c (15)

a b c (Å): 7.547 7.547 5.280
angles (deg): 110.07 110.07 119.57
Fractional coordinates of all 12 atoms:
Mn  0.192  0.808  0.750
Mn  0.808  0.192  0.250
Os  0.444  0.556  0.250
Os  0.556  0.444  0.750
S  0.119  0.513  0.290
S  0.153  0.273  0.643
S  0.273  0.153  0.143
S  0.487  0.881  0.210
S  0.513  0.119  0.790
S  0.727  0.847  0.857
S  0.847  0.727  0.357
S  0.881  0.487  0.710

=====

Entry 5:
MnOsS2 | PBE-GGA | relaxed

**Raw formation energy**: -0.027 eV per atom
**ΔE to the lowest computed polymorph**: 36 meV/atom
**SG**: I-42d (122)

a b c (Å): 6.228 6.228 6.228
angles (deg): 131.83 131.83 70.50
Fractional coordinates of all 8 atoms:
Mn  0.000  0.000  0.000
Mn  0.750  0.250  0.500
Os  0.250  0.750  0.500
Os  0.500  0.500  0.000
S  0.108  0.625  0.983
S  0.375  0.358  0.483
S  0.642  0.125  0.017
S  0.875  0.892  0.517

=====

Entry 6:
MnOsS2 | PBE-GGA | relaxed

**Raw formation energy**: 0.370 eV per atom
**ΔE to the lowest computed polymorph**: 433 meV/atom
**SG**: Fm-3m (225)

a b c (Å): 4.132 4.132 4.132
angles (deg): 60.00 60.00 60.00
Fractional coordinates of all 4 atoms:
Mn  0.000  0.000  0.000
Os  0.500  0.500  0.500
S  0.250  0.250  0.250
S  0.750  0.750  0.750

=====

Entry 7:
MnOsS2 | PBE-GGA | relaxed

**Raw formation energy**: -0.063 eV per atom
**ΔE to the lowest computed polymorph**: 0 meV/atom
**SG**: R-3m (166)

a b c (Å): 7.627 7.627 7.627
angles (deg): 22.49 22.49 22.49
Fractional coordinates of all 4 atoms:
Mn  0.000  0.000  0.000
Os  0.500  0.500  0.500
S  0.399  0.399  0.399
S  0.601  0.601  0.601

=====

Entry 8:
MnOs3S | PBE-GGA | relaxed

**Raw formation energy**: 2.092 eV per atom
**ΔE to the lowest computed polymorph**: 649 meV/atom
**SG**: Pm-3m (221)

a b c (Å): 4.435 4.435 4.435
angles (deg): 90.00 90.00 90.00
Fractional coordinates of all 5 atoms:
Mn  0.000  0.000  0.000
Os  0.000  0.000  0.500
Os  0.000  0.500  0.000
Os  0.500  0.000  0.000
S  0.500  0.500  0.500

=====

Entry 9:
Mn2OsS | PBE-GGA | relaxed

**Raw formation energy**: 0.497 eV per atom
**SG**: I-42d (122)

a b c (Å): 6.174 6.174 6.174
angles (deg): 130.19 130.19 73.10
Fractional coordinates of all 8 atoms:
Mn  0.105  0.625  0.980
Mn  0.375  0.355  0.480
Mn  0.645  0.125  0.020
Mn  0.875  0.895  0.520
Os  0.250  0.750  0.500
Os  0.500  0.500  0.000
S  0.000  0.000  0.000
S  0.750  0.250  0.500

=====

Entry 10:
MnOs3S | PBE-GGA | relaxed

**Raw formation energy**: 1.443 eV per atom
**ΔE to the lowest computed polymorph**: 0 meV/atom
**SG**: Pm-3m (221)

a b c (Å): 4.292 4.292 4.292
angles (deg): 90.00 90.00 90.00
Fractional coordinates of all 5 atoms:
Mn  0.000  0.000  0.000
Os  0.000  0.500  0.500
Os  0.500  0.000  0.500
Os  0.500  0.500  0.000
S  0.500  0.500  0.500

=====

Entry 11:
MnSbOs2 | PBE-GGA | relaxed

**Raw formation energy**: 0.637 eV per atom
**SG**: F-43m (216)

a b c (Å): 4.463 4.463 4.463
angles (deg): 60.00 60.00 60.00
Fractional coordinates of all 4 atoms:
Mn  0.000  0.000  0.000
Sb  0.250  0.250  0.250
Os  0.500  0.500  0.500
Os  0.750  0.750  0.750

=====

Entry 12:
MnSbOs2 | PBE-GGA | relaxed

**Raw formation energy**: 0.578 eV per atom
**SG**: R-3m (166)

a b c (Å): 8.567 8.567 8.567
angles (deg): 19.90 19.90 19.90
Fractional coordinates of all 4 atoms:
Mn  0.000  0.000  0.000
Sb  0.500  0.500  0.500
Os  0.255  0.255  0.255
Os  0.745  0.745  0.745

=====

Entry 13:
MnSbOs3 | PBE-GGA | relaxed

**Raw formation energy**: 1.563 eV per atom
**ΔE to the lowest computed polymorph**: 0 meV/atom
**SG**: Pm-3m (221)

a b c (Å): 4.486 4.486 4.486
angles (deg): 90.00 90.00 90.00
Fractional coordinates of all 5 atoms:
Mn  0.000  0.000  0.000
Sb  0.500  0.500  0.500
Os  0.000  0.000  0.500
Os  0.000  0.500  0.000
Os  0.500  0.000  0.000

=====

Entry 14:
MnSb2Os | PBE-GGA | relaxed

**Raw formation energy**: 0.433 eV per atom
**ΔE to the lowest computed polymorph**: 219 meV/atom
**SG**: C2/m (12)

a b c (Å): 4.495 4.495 5.683
angles (deg): 100.85 100.85 42.40
Fractional coordinates of all 4 atoms:
Mn  0.000  0.000  0.000
Sb  0.243  0.243  0.742
Sb  0.757  0.757  0.258
Os  0.500  0.500  0.500

=====

Entry 15:
MnSb2Os2 | PBE-GGA | relaxed

**Raw formation energy**: 1.153 eV per atom
**ΔE to the lowest computed polymorph**: 655 meV/atom
**SG**: I4/mmm (139)

a b c (Å): 6.404 6.404 6.404
angles (deg): 141.52 141.52 55.55
Fractional coordinates of all 5 atoms:
Mn  0.000  0.000  0.000
Sb  0.250  0.750  0.500
Sb  0.750  0.250  0.500
Os  0.392  0.392  0.000
Os  0.608  0.608  0.000

=====

Entry 16:
MnSbOs2 | PBE-GGA | relaxed

**Raw formation energy**: 0.551 eV per atom
**SG**: P2/m (10)

a b c (Å): 2.907 4.462 4.961
angles (deg): 90.00 92.00 90.00
Fractional coordinates of all 4 atoms:
Mn  0.000  0.000  0.000
Sb  0.500  0.000  0.500
Os  0.261  0.500  0.774
Os  0.739  0.500  0.226

=====

Entry 17:
MnSb2Os | PBE-GGA | relaxed

**Raw formation energy**: 0.214 eV per atom
**ΔE to the lowest computed polymorph**: 0 meV/atom
**SG**: P4mm (99)

a b c (Å): 3.173 3.173 8.142
angles (deg): 90.00 90.00 90.00
Fractional coordinates of all 4 atoms:
Mn  0.000  0.000  0.000
Sb  0.000  0.000  0.386
Sb  0.500  0.500  0.793
Os  0.500  0.500  0.182

=====

Entry 18:
MnSbOs2 | PBE-GGA | relaxed

**Raw formation energy**: 0.450 eV per atom
**SG**: P4mm (99)

a b c (Å): 2.913 2.913 7.768
angles (deg): 90.00 90.00 90.00
Fractional coordinates of all 4 atoms:
Mn  0.000  0.000  0.000
Sb  0.500  0.500  0.727
Os  0.000  0.000  0.450
Os  0.500  0.500  0.240

=====

Entry 19:
MnSb2Os | PBE-GGA | relaxed

**Raw formation energy**: 0.366 eV per atom
**ΔE to the lowest computed polymorph**: 152 meV/atom
**SG**: Pmm2 (25)

a b c (Å): 3.267 5.002 4.512
angles (deg): 90.00 90.00 90.00
Fractional coordinates of all 4 atoms:
Mn  0.000  0.000  0.000
Sb  0.000  0.500  0.235
Sb  0.500  0.000  0.511
Os  0.500  0.500  0.744

=====

Entry 20:
MnSb3Os | PBE-GGA | relaxed

**Raw formation energy**: 1.178 eV per atom
**ΔE to the lowest computed polymorph**: 0 meV/atom
**SG**: Pm-3m (221)

a b c (Å): 4.832 4.832 4.832
angles (deg): 90.00 90.00 90.00
Fractional coordinates of all 5 atoms:
Mn  0.000  0.000  0.000
Sb  0.000  0.000  0.500
Sb  0.000  0.500  0.000
Sb  0.500  0.000  0.000
Os  0.500  0.500  0.500

=====

Entry 21:
MnSb2Os2 | PBE-GGA | relaxed

**Raw formation energy**: 0.498 eV per atom
**ΔE to the lowest computed polymorph**: 0 meV/atom
**SG**: P4/mbm (127)

a b c (Å): 6.820 6.820 3.931
angles (deg): 90.00 90.00 90.00
Fractional coordinates of all 10 atoms:
Mn  0.000  0.000  0.000
Mn  0.500  0.500  0.000
Sb  0.171  0.329  0.500
Sb  0.329  0.829  0.500
Sb  0.671  0.171  0.500
Sb  0.829  0.671  0.500
Os  0.134  0.634  0.000
Os  0.366  0.134  0.000
Os  0.634  0.866  0.000
Os  0.866  0.366  0.000

=====

Entry 22:
MnSbOs2 | PBE-GGA | relaxed

**Raw formation energy**: 0.420 eV per atom
**SG**: Cm (8)

a b c (Å): 4.821 4.821 4.656
angles (deg): 99.79 99.79 35.92
Fractional coordinates of all 4 atoms:
Mn  0.000  0.000  0.000
Sb  0.757  0.757  0.261
Os  0.255  0.255  0.765
Os  0.512  0.512  0.550

=====

Entry 23:
MnSbOs2 | PBE-GGA | relaxed

**Raw formation energy**: 0.780 eV per atom
**SG**: Cmmm (65)

a b c (Å): 2.829 2.829 9.284
angles (deg): 90.00 90.00 117.21
Fractional coordinates of all 4 atoms:
Mn  0.000  0.000  0.000
Sb  0.000  0.000  0.500
Os  0.500  0.500  0.219
Os  0.500  0.500  0.781

=====

Entry 24:
MnSb2Os | PBE-GGA | relaxed

**Raw formation energy**: 0.713 eV per atom
**ΔE to the lowest computed polymorph**: 499 meV/atom
**SG**: I-42d (122)

a b c (Å): 7.125 7.125 7.125
angles (deg): 127.34 127.34 77.70
Fractional coordinates of all 8 atoms:
Mn  0.000  0.000  0.000
Mn  0.750  0.250  0.500
Sb  0.145  0.625  0.020
Sb  0.375  0.395  0.520
Sb  0.605  0.125  0.980
Sb  0.875  0.855  0.480
Os  0.250  0.750  0.500
Os  0.500  0.500  0.000

=====

Entry 25:
MnSb2Os | PBE-GGA | relaxed

**Raw formation energy**: 0.380 eV per atom
**ΔE to the lowest computed polymorph**: 165 meV/atom
**SG**: R3m (160)

a b c (Å): 10.371 10.371 10.371
angles (deg): 17.45 17.45 17.45
Fractional coordinates of all 4 atoms:
Mn  0.000  0.000  0.000
Sb  0.263  0.263  0.263
Sb  0.462  0.462  0.462
Os  0.729  0.729  0.729

=====

Entry 26:
MnSbOs4 | PBE-GGA | relaxed

**Raw formation energy**: 0.779 eV per atom
**SG**: F-43m (216)

a b c (Å): 5.239 5.239 5.239
angles (deg): 60.00 60.00 60.00
Fractional coordinates of all 6 atoms:
Mn  0.000  0.000  0.000
Sb  0.750  0.750  0.750
Os  0.375  0.375  0.375
Os  0.375  0.375  0.876
Os  0.375  0.876  0.375
Os  0.876  0.375  0.375

=====

Entry 27:
Mn2SbOs | PBE-GGA | relaxed

**Raw formation energy**: 0.387 eV per atom
**SG**: C2/m (12)

a b c (Å): 4.641 4.641 4.658
angles (deg): 101.88 101.88 38.26
Fractional coordinates of all 4 atoms:
Mn  0.246  0.246  0.230
Mn  0.754  0.754  0.770
Sb  0.000  0.000  0.500
Os  0.500  0.500  0.000

=====

Entry 28:
Mn2SbOs | PBE-GGA | relaxed

**Raw formation energy**: 0.275 eV per atom
**SG**: Cmmm (65)

a b c (Å): 4.644 4.644 3.034
angles (deg): 90.00 90.00 109.87
Fractional coordinates of all 4 atoms:
Mn  0.000  0.500  0.000
Mn  0.500  0.000  0.000
Sb  0.000  0.000  0.500
Os  0.500  0.500  0.500

=====

Number 1: electronic total energy -78.05 eV per cell. Number 2: electronic total energy -37.76 eV per cell. Number 3: electronic total energy -41.49 eV per cell. Number 4: electronic total energy -76.20 eV per cell. Number 5: electronic total energy -57.53 eV per cell. Number 6: electronic total energy -27.17 eV per cell. Number 7: electronic total energy -28.91 eV per cell. Number 8: electronic total energy -36.53 eV per cell. Number 9: electronic total energy -63.42 eV per cell. Number 10: electronic total energy -39.77 eV per cell. Number 11: electronic total energy -33.20 eV per cell. Number 12: electronic total energy -33.44 eV per cell. Number 13: electronic total energy -39.17 eV per cell. Number 14: electronic total energy -26.91 eV per cell. Number 15: electronic total energy -34.11 eV per cell. Number 16: electronic total energy -33.55 eV per cell. Number 17: electronic total energy -27.79 eV per cell. Number 18: electronic total energy -33.95 eV per cell. Number 19: electronic total energy -27.18 eV per cell. Number 20: electronic total energy -26.88 eV per cell. Number 21: electronic total energy -74.77 eV per cell. Number 22: electronic total energy -34.07 eV per cell. Number 23: electronic total energy -32.63 eV per cell. Number 24: electronic total energy -51.58 eV per cell. Number 25: electronic total energy -27.13 eV per cell. Number 26: electronic total energy -53.54 eV per cell. Number 27: electronic total energy -32.14 eV per cell. Number 28: electronic total energy -32.59 eV per cell.